1.
{"formula": "ScCoIr2", "functional": "SCAN", "state": "single point on PBEsol structure", "n_ef_per_ev_fu": 3.821, "sg": "R-3m, No. 166", "total_energy_ev_per_cell": -174.20, "crystal_system": "trigonal", "lattice_angstrom": [[1.400, 0.808, 8.494], [-1.400, 0.808, 8.494], [0.000, -1.616, 8.494]], "species": ["Sc", "Co", "Ir", "Ir"], "frac_coords": [[0.000, 0.000, 0.000], [0.500, 0.500, 0.500], [0.246, 0.246, 0.246], [0.754, 0.754, 0.754]]}

2.
{"formula": "ScCoIr", "functional": "SCAN", "state": "single point on PBEsol structure", "n_ef_per_ev_fu": 2.651, "sg": "I4mm, No. 107", "crystal_system": "tetragonal", "e_above_lowest_polymorph_ev_per_atom": 0.142, "lattice_angstrom": [[-1.409, 1.409, 5.499], [1.409, -1.409, 5.499], [1.409, 1.409, -5.499]], "species": ["Sc", "Co", "Ir"], "frac_coords": [[0.000, 0.000, 0.000], [0.677, 0.677, 0.000], [0.317, 0.317, 0.000]]}

3.
{"formula": "Sc2CoIr", "functional": "SCAN", "state": "single point on PBEsol structure", "n_ef_per_ev_fu": 1.501, "sg": "Fm-3m, No. 225", "crystal_system": "cubic", "e_above_lowest_polymorph_ev_per_atom": 0.000, "lattice_angstrom": [[0.000, 3.140, 3.140], [3.140, 0.000, 3.140], [3.140, 3.140, 0.000]], "species": ["Sc", "Sc", "Co", "Ir"], "frac_coords": [[0.250, 0.250, 0.250], [0.750, 0.750, 0.750], [0.000, 0.000, 0.000], [0.500, 0.500, 0.500]]}

4.
{"formula": "Sc2CoIr2", "functional": "SCAN", "state": "single point on PBEsol structure", "n_ef_per_ev_fu": 4.046, "sg": "I4/mmm, No. 139", "total_energy_ev_per_cell": -187.83, "crystal_system": "tetragonal", "lattice_angstrom": [[-2.057, 2.057, 5.584], [2.057, -2.057, 5.584], [2.057, 2.057, -5.584]], "species": ["Sc", "Sc", "Co", "Ir", "Ir"], "frac_coords": [[0.250, 0.750, 0.500], [0.750, 0.250, 0.500], [0.000, 0.000, 0.000], [0.391, 0.391, 0.000], [0.609, 0.609, 0.000]]}

5.
{"formula": "ScCoIr2", "functional": "SCAN", "state": "single point on PBEsol structure", "n_ef_per_ev_fu": 2.420, "sg": "Cm, No. 8", "total_energy_ev_per_cell": -175.21, "crystal_system": "monoclinic", "lattice_angstrom": [[4.499, -1.388, 0.000], [4.499, 1.388, 0.000], [-0.886, 0.000, 4.538]], "species": ["Sc", "Co", "Ir", "Ir"], "frac_coords": [[0.000, 0.000, 0.000], [0.756, 0.756, 0.252], [0.242, 0.242, 0.702], [0.496, 0.496, 0.492]]}

6.
{"formula": "ScCoIr4", "functional": "SCAN", "state": "single point on PBEsol structure", "n_ef_per_ev_fu": 9.060, "sg": "F-43m, No. 216", "total_energy_ev_per_cell": -317.36, "crystal_system": "cubic", "lattice_angstrom": [[0.000, 3.612, 3.612], [3.612, 0.000, 3.612], [3.612, 3.612, 0.000]], "species": ["Sc", "Co", "Ir", "Ir", "Ir", "Ir"], "frac_coords": [[0.000, 0.000, 0.000], [0.250, 0.250, 0.250], [0.126, 0.625, 0.625], [0.625, 0.126, 0.625], [0.625, 0.625, 0.126], [0.625, 0.625, 0.625]]}

7.
{"formula": "ScCoIr2", "functional": "SCAN", "state": "single point on PBEsol structure", "n_ef_per_ev_fu": 3.660, "sg": "I4/mmm, No. 139", "total_energy_ev_per_cell": -175.44, "crystal_system": "tetragonal", "lattice_angstrom": [[-1.925, 1.925, 3.814], [1.925, -1.925, 3.814], [1.925, 1.925, -3.814]], "species": ["Sc", "Co", "Ir", "Ir"], "frac_coords": [[0.000, 0.000, 0.000], [0.500, 0.500, 0.000], [0.250, 0.750, 0.500], [0.750, 0.250, 0.500]]}

8.
{"formula": "Sc2CoIr", "functional": "SCAN", "state": "single point on PBEsol structure", "n_ef_per_ev_fu": 1.101, "sg": "P4/mmm, No. 123", "crystal_system": "tetragonal", "e_above_lowest_polymorph_ev_per_atom": 0.038, "lattice_angstrom": [[3.136, 0.000, 0.000], [0.000, 3.136, 0.000], [0.000, 0.000, 6.279]], "species": ["Sc", "Sc", "Co", "Ir"], "frac_coords": [[0.000, 0.000, 0.242], [0.000, 0.000, 0.758], [0.500, 0.500, 0.000], [0.500, 0.500, 0.500]]}

9.
{"formula": "ScCoIr", "functional": "SCAN", "state": "single point on PBEsol structure", "n_ef_per_ev_fu": 2.307, "sg": "Imm2, No. 44", "crystal_system": "orthorhombic", "e_above_lowest_polymorph_ev_per_atom": 0.000, "lattice_angstrom": [[-1.451, 1.771, 4.290], [1.451, -1.771, 4.290], [1.451, 1.771, -4.290]], "species": ["Sc", "Co", "Ir"], "frac_coords": [[0.000, 0.000, 0.000], [0.682, 0.682, 0.000], [0.321, 0.321, 0.000]]}

10.
{"formula": "CoIr3Se", "functional": "SCAN", "state": "single point on PBEsol structure", "n_ef_per_ev_fu": 4.920, "sg": "Pm-3m, No. 221", "crystal_system": "cubic", "raw_formation_energy_mev_per_atom": 1723, "lattice_angstrom": [[4.428, 0.000, 0.000], [0.000, 4.428, 0.000], [0.000, 0.000, 4.428]], "species": ["Co", "Ir", "Ir", "Ir", "Se"], "frac_coords": [[0.000, 0.000, 0.000], [0.000, 0.000, 0.500], [0.000, 0.500, 0.000], [0.500, 0.000, 0.000], [0.500, 0.500, 0.500]]}

11.
{"formula": "CoSi2Ir", "functional": "SCAN", "state": "single point on PBEsol structure", "n_ef_per_ev_fu": 2.628, "sg": "P4mm, No. 99", "crystal_system": "tetragonal", "e_above_lowest_polymorph_ev_per_atom": 0.000, "raw_formation_energy_mev_per_atom": 8, "lattice_angstrom": [[2.685, 0.000, 0.000], [0.000, 2.685, 0.000], [0.000, 0.000, 7.026]], "species": ["Co", "Si", "Si", "Ir"], "frac_coords": [[0.000, 0.000, 0.000], [0.000, 0.000, 0.495], [0.500, 0.500, 0.802], [0.500, 0.500, 0.265]]}

12.
{"formula": "CoSi2Ir", "functional": "SCAN", "state": "single point on PBEsol structure", "n_ef_per_ev_fu": 1.900, "sg": "F-43m, No. 216", "crystal_system": "cubic", "e_above_lowest_polymorph_ev_per_atom": 0.169, "raw_formation_energy_mev_per_atom": 176, "lattice_angstrom": [[0.000, 2.929, 2.929], [2.929, 0.000, 2.929], [2.929, 2.929, 0.000]], "species": ["Co", "Si", "Si", "Ir"], "frac_coords": [[0.000, 0.000, 0.000], [0.250, 0.250, 0.250], [0.500, 0.500, 0.500], [0.750, 0.750, 0.750]]}